[1]
{
  "formula": "AlInIr",
  "functional": "PBE",
  "state": "relaxed",
  "spacegroup": "F-43m",
  "e_form_kj_per_mol_atoms": -32.21,
  "dft_energy_ev_per_atom": -5.45,
  "lattice_angstrom": [[0.000, 3.088, 3.088], [3.088, 0.000, 3.088], [3.088, 3.088, 0.000]],
  "species": ["Al", "In", "Ir"],
  "frac_coords": [[0.000, 0.000, 0.000], [0.500, 0.500, 0.500], [0.750, 0.750, 0.750]]
}


[2]
{
  "formula": "Sr2NpN4",
  "functional": "PBE",
  "state": "relaxed",
  "e_form_raw_ev_per_atom": -0.83,
  "spacegroup": "I4_1/acd",
  "dft_energy_ev_per_atom": -7.92,
  "polymorph_energy_ev_per_atom": 0.0195,
  "lattice_angstrom": [[-3.035, 3.035, 12.779], [3.035, -3.035, 12.779], [3.035, 3.035, -12.779]],
  "species": ["Sr", "Sr", "Sr", "Sr", "Sr", "Sr", "Sr", "Sr", "Np", "Np", "Np", "Np", "N", "N", "N", "N", "N", "N", "N", "N", "N", "N", "N", "N", "N", "N", "N", "N"],
  "frac_coords": [[0.053, 0.303, 0.750], [0.197, 0.447, 0.750], [0.303, 0.053, 0.250], [0.447, 0.197, 0.250], [0.553, 0.803, 0.750], [0.697, 0.947, 0.750], [0.803, 0.553, 0.250], [0.947, 0.697, 0.250], [0.125, 0.875, 0.250], [0.375, 0.625, 0.750], [0.625, 0.375, 0.250], [0.875, 0.125, 0.750], [0.048, 0.798, 0.250], [0.124, 0.874, 0.748], [0.126, 0.374, 0.250], [0.202, 0.952, 0.250], [0.298, 0.548, 0.750], [0.374, 0.624, 0.248], [0.376, 0.124, 0.750], [0.452, 0.702, 0.750], [0.548, 0.298, 0.250], [0.624, 0.876, 0.250], [0.626, 0.376, 0.752], [0.702, 0.452, 0.250], [0.798, 0.048, 0.750], [0.874, 0.626, 0.750], [0.876, 0.126, 0.252], [0.952, 0.202, 0.750]]
}


[3]
{
  "formula": "Re3PN",
  "functional": "PBE",
  "state": "relaxed",
  "e_form_raw_ev_per_atom": 0.72,
  "spacegroup": "Pm-3m",
  "dft_energy_ev_per_atom": -9.49,
  "polymorph_energy_ev_per_atom": 0.0000,
  "lattice_angstrom": [[4.063, 0.000, 0.000], [0.000, 4.063, 0.000], [0.000, 0.000, 4.063]],
  "species": ["Re", "Re", "Re", "P", "N"],
  "frac_coords": [[0.000, 0.000, 0.500], [0.000, 0.500, 0.000], [0.500, 0.000, 0.000], [0.500, 0.500, 0.500], [0.000, 0.000, 0.000]]
}


[4]
{
  "formula": "RbSn",
  "functional": "PBE",
  "state": "relaxed",
  "spacegroup": "P6_3/mmc",
  "e_form_kj_per_mol_atoms": -14.51,
  "dft_energy_ev_per_atom": -2.64,
  "lattice_angstrom": [[10.217, 0.000, 0.000], [-5.108, 8.848, 0.000], [0.000, 0.000, 6.352]],
  "species": ["Rb", "Rb", "Rb", "Rb", "Rb", "Rb", "Sn", "Sn", "Sn", "Sn", "Sn", "Sn"],
  "frac_coords": [[0.186, 0.372, 0.250], [0.186, 0.814, 0.250], [0.372, 0.186, 0.750], [0.628, 0.814, 0.250], [0.814, 0.186, 0.750], [0.814, 0.628, 0.750], [0.141, 0.570, 0.750], [0.430, 0.570, 0.750], [0.430, 0.859, 0.750], [0.570, 0.141, 0.250], [0.570, 0.430, 0.250], [0.859, 0.430, 0.250]]
}


[5]
{
  "formula": "CaFeHg2Pd",
  "functional": "PBE",
  "state": "relaxed",
  "spacegroup": "P4/mmm",
  "e_form_kj_per_mol_atoms": 116.51,
  "dft_energy_ev_per_atom": -2.04,
  "lattice_angstrom": [[5.582, 0.000, 0.000], [0.000, 5.582, 0.000], [0.000, 0.000, 4.991]],
  "species": ["Ca", "Fe", "Hg", "Hg", "Pd"],
  "frac_coords": [[0.000, 0.000, 0.000], [0.000, 0.000, 0.500], [0.000, 0.500, 0.000], [0.500, 0.000, 0.000], [0.500, 0.500, 0.500]]
}


[6]
{
  "formula": "Y8Er4Tm",
  "functional": "PBE",
  "state": "relaxed",
  "spacegroup": "R-3m",
  "e_form_kj_per_mol_atoms": 21.68,
  "dft_energy_ev_per_atom": -5.50,
  "lattice_angstrom": [[3.617, 2.088, 9.222], [-3.617, 2.088, 9.222], [0.000, -4.176, 9.222]],
  "species": ["Y", "Y", "Y", "Y", "Y", "Y", "Y", "Y", "Er", "Er", "Er", "Er", "Tm"],
  "frac_coords": [[0.204, 0.750, 0.750], [0.214, 0.214, 0.214], [0.250, 0.250, 0.796], [0.250, 0.796, 0.250], [0.750, 0.204, 0.750], [0.750, 0.750, 0.204], [0.786, 0.786, 0.786], [0.796, 0.250, 0.250], [0.000, 0.000, 0.000], [0.000, 0.500, 0.500], [0.500, 0.000, 0.500], [0.500, 0.500, 0.000], [0.500, 0.500, 0.500]]
}


[7]
{
  "formula": "CeErMgZr",
  "functional": "PBE",
  "state": "relaxed",
  "spacegroup": "F-43m",
  "e_form_kj_per_mol_atoms": 12.59,
  "dft_energy_ev_per_atom": -5.03,
  "lattice_angstrom": [[0.000, 3.745, 3.745], [3.745, 0.000, 3.745], [3.745, 3.745, 0.000]],
  "species": ["Ce", "Er", "Mg", "Zr"],
  "frac_coords": [[0.000, 0.000, 0.000], [0.500, 0.500, 0.500], [0.250, 0.250, 0.250], [0.750, 0.750, 0.750]]
}


[8]
{
  "formula": "K2LaRu",
  "functional": "PBE",
  "state": "relaxed",
  "spacegroup": "Pmmm",
  "e_form_kj_per_mol_atoms": 88.93,
  "dft_energy_ev_per_atom": -3.18,
  "polymorph_energy_ev_per_atom": 0.6965,
  "lattice_angstrom": [[3.616, 0.000, 0.000], [0.000, 5.636, 0.000], [0.000, 0.000, 6.338]],
  "species": ["K", "K", "La", "Ru"],
  "frac_coords": [[0.000, 0.239, 0.000], [0.000, 0.761, 0.000], [0.500, 0.500, 0.500], [0.500, 0.000, 0.500]]
}


[9]
{
  "formula": "LiTa2Se6",
  "functional": "PBE",
  "state": "relaxed",
  "e_form_raw_ev_per_atom": -0.60,
  "spacegroup": "P4_2/mnm",
  "dft_energy_ev_per_atom": -5.77,
  "lattice_angstrom": [[6.229, 0.000, 0.000], [0.000, 6.229, 0.000], [0.000, 0.000, 11.113]],
  "species": ["Li", "Li", "Ta", "Ta", "Ta", "Ta", "Se", "Se", "Se", "Se", "Se", "Se", "Se", "Se", "Se", "Se", "Se", "Se"],
  "frac_coords": [[0.000, 0.000, 0.000], [0.500, 0.500, 0.500], [0.000, 0.000, 0.338], [0.000, 0.000, 0.662], [0.500, 0.500, 0.162], [0.500, 0.500, 0.838], [0.203, 0.203, 0.500], [0.207, 0.207, 0.175], [0.207, 0.207, 0.825], [0.293, 0.707, 0.325], [0.293, 0.707, 0.675], [0.297, 0.703, 0.000], [0.703, 0.297, 0.000], [0.707, 0.293, 0.325], [0.707, 0.293, 0.675], [0.793, 0.793, 0.175], [0.793, 0.793, 0.825], [0.797, 0.797, 0.500]]
}


[10]
{
  "formula": "TaTe3Au",
  "functional": "PBE",
  "state": "relaxed",
  "e_form_raw_ev_per_atom": 1.23,
  "spacegroup": "Pm-3m",
  "dft_energy_ev_per_atom": -3.68,
  "polymorph_energy_ev_per_atom": 1.3003,
  "lattice_angstrom": [[5.282, 0.000, 0.000], [0.000, 5.282, 0.000], [0.000, 0.000, 5.282]],
  "species": ["Ta", "Te", "Te", "Te", "Au"],
  "frac_coords": [[0.000, 0.000, 0.000], [0.000, 0.500, 0.500], [0.500, 0.000, 0.500], [0.500, 0.500, 0.000], [0.500, 0.500, 0.500]]
}


[11]
{
  "formula": "KY3Ag",
  "functional": "PBE",
  "state": "relaxed",
  "spacegroup": "Pm-3m",
  "e_form_kj_per_mol_atoms": 128.09,
  "dft_energy_ev_per_atom": -3.34,
  "lattice_angstrom": [[5.376, 0.000, 0.000], [0.000, 5.376, 0.000], [0.000, 0.000, 5.376]],
  "species": ["K", "Y", "Y", "Y", "Ag"],
  "frac_coords": [[0.000, 0.000, 0.000], [0.000, 0.000, 0.500], [0.000, 0.500, 0.000], [0.500, 0.000, 0.000], [0.500, 0.500, 0.500]]
}


[12]
{
  "formula": "ReTeSN2",
  "functional": "PBE",
  "state": "relaxed",
  "e_form_raw_ev_per_atom": 0.51,
  "spacegroup": "P4/mmm",
  "dft_energy_ev_per_atom": -6.76,
  "polymorph_energy_ev_per_atom": 0.0000,
  "lattice_angstrom": [[3.830, 0.000, 0.000], [0.000, 3.830, 0.000], [0.000, 0.000, 5.905]],
  "species": ["Re", "Te", "S", "N", "N"],
  "frac_coords": [[0.000, 0.000, 0.000], [0.000, 0.000, 0.500], [0.500, 0.500, 0.500], [0.000, 0.500, 0.000], [0.500, 0.000, 0.000]]
}


[13]
{
  "formula": "Pm3Pr6Y2Tm",
  "functional": "PBE",
  "state": "relaxed",
  "spacegroup": "C2/m",
  "e_form_kj_per_mol_atoms": 1.13,
  "dft_energy_ev_per_atom": -5.02,
  "lattice_angstrom": [[3.177, -5.505, 0.000], [3.177, 5.505, 0.000], [-2.115, 0.000, 11.834]],
  "species": ["Pm", "Pm", "Pm", "Pr", "Pr", "Pr", "Pr", "Pr", "Pr", "Y", "Y", "Tm"],
  "frac_coords": [[0.000, 0.000, 0.000], [0.333, 0.667, 0.000], [0.667, 0.333, 0.000], [0.085, 0.417, 0.253], [0.251, 0.251, 0.747], [0.417, 0.085, 0.253], [0.583, 0.915, 0.747], [0.749, 0.749, 0.253], [0.915, 0.583, 0.747], [0.167, 0.833, 0.500], [0.833, 0.167, 0.500], [0.500, 0.500, 0.500]]
}


[14]
{
  "formula": "Pr2PuAu4",
  "functional": "PBE",
  "state": "relaxed",
  "spacegroup": "I4/mmm",
  "e_form_kj_per_mol_atoms": -46.59,
  "dft_energy_ev_per_atom": -5.77,
  "lattice_angstrom": [[-3.522, 3.522, 3.832], [3.522, -3.522, 3.832], [3.522, 3.522, -3.832]],
  "species": ["Pr", "Pr", "Pu", "Au", "Au", "Au", "Au"],
  "frac_coords": [[0.000, 0.500, 0.500], [0.500, 0.000, 0.500], [0.000, 0.000, 0.000], [0.000, 0.000, 0.500], [0.000, 0.500, 0.000], [0.500, 0.000, 0.000], [0.500, 0.500, 0.500]]
}


[15]
{
  "formula": "ScTiTc2",
  "functional": "PBE",
  "state": "relaxed",
  "spacegroup": "P4/mmm",
  "e_form_kj_per_mol_atoms": -25.70,
  "dft_energy_ev_per_atom": -9.01,
  "lattice_angstrom": [[3.157, 0.000, 0.000], [0.000, 3.157, 0.000], [0.000, 0.000, 6.435]],
  "species": ["Sc", "Ti", "Tc", "Tc"],
  "frac_coords": [[0.000, 0.000, 0.000], [0.000, 0.000, 0.500], [0.500, 0.500, 0.269], [0.500, 0.500, 0.731]]
}


[16]
{
  "formula": "AcP2PdRh5",
  "functional": "PBE",
  "state": "relaxed",
  "spacegroup": "P4/mmm",
  "e_form_kj_per_mol_atoms": -45.35,
  "dft_energy_ev_per_atom": -6.79,
  "lattice_angstrom": [[4.071, 0.000, 0.000], [0.000, 4.071, 0.000], [0.000, 0.000, 10.098]],
  "species": ["Ac", "P", "P", "Pd", "Rh", "Rh", "Rh", "Rh", "Rh"],
  "frac_coords": [[0.000, 0.000, 0.000], [0.500, 0.500, 0.228], [0.500, 0.500, 0.772], [0.000, 0.000, 0.500], [0.000, 0.500, 0.331], [0.000, 0.500, 0.669], [0.500, 0.000, 0.331], [0.500, 0.000, 0.669], [0.500, 0.500, 0.000]]
}


[17]
{
  "formula": "Sm6AlS5",
  "functional": "PBE",
  "state": "relaxed",
  "e_form_raw_ev_per_atom": -1.71,
  "spacegroup": "C2/m",
  "dft_energy_ev_per_atom": -6.10,
  "lattice_angstrom": [[3.535, -6.093, 0.000], [3.535, 6.093, 0.000], [-2.338, 0.000, 6.642]],
  "species": ["Sm", "Sm", "Sm", "Sm", "Sm", "Sm", "Al", "S", "S", "S", "S", "S"],
  "frac_coords": [[0.078, 0.416, 0.747], [0.245, 0.245, 0.251], [0.416, 0.078, 0.747], [0.584, 0.922, 0.253], [0.755, 0.755, 0.749], [0.922, 0.584, 0.253], [0.500, 0.500, 0.000], [0.000, 0.000, 0.500], [0.167, 0.833, 0.000], [0.335, 0.665, 0.500], [0.665, 0.335, 0.500], [0.833, 0.167, 0.000]]
}


[18]
{
  "formula": "SrTePd4",
  "functional": "PBE",
  "state": "relaxed",
  "e_form_raw_ev_per_atom": -0.35,
  "spacegroup": "F-43m",
  "dft_energy_ev_per_atom": -4.62,
  "lattice_angstrom": [[0.000, 3.905, 3.905], [3.905, 0.000, 3.905], [3.905, 3.905, 0.000]],
  "species": ["Sr", "Te", "Pd", "Pd", "Pd", "Pd"],
  "frac_coords": [[0.000, 0.000, 0.000], [0.750, 0.750, 0.750], [0.375, 0.375, 0.375], [0.375, 0.375, 0.875], [0.375, 0.875, 0.375], [0.875, 0.375, 0.375]]
}


[19]
{
  "formula": "LiCuPO4",
  "functional": "PBE",
  "state": "relaxed",
  "e_form_raw_ev_per_atom": -1.81,
  "spacegroup": "C2/m",
  "dft_energy_ev_per_atom": -6.27,
  "polymorph_energy_ev_per_atom": 0.0000,
  "lattice_angstrom": [[3.947, -3.020, 0.000], [3.947, 3.020, 0.000], [-3.696, 0.000, 7.840]],
  "species": ["Li", "Li", "Cu", "Cu", "P", "P", "O", "O", "O", "O", "O", "O", "O", "O"],
  "frac_coords": [[0.170, 0.170, 0.152], [0.830, 0.830, 0.848], [0.000, 0.500, 0.500], [0.500, 0.000, 0.500], [0.125, 0.125, 0.745], [0.875, 0.875, 0.255], [0.001, 0.574, 0.292], [0.092, 0.092, 0.389], [0.128, 0.128, 0.920], [0.426, 0.999, 0.708], [0.574, 0.001, 0.292], [0.872, 0.872, 0.080], [0.908, 0.908, 0.611], [0.999, 0.426, 0.708]]
}


[20]
{
  "formula": "LiCrBr4",
  "functional": "PBE",
  "state": "relaxed",
  "e_form_raw_ev_per_atom": 0.40,
  "spacegroup": "F-43m",
  "dft_energy_ev_per_atom": -2.64,
  "polymorph_energy_ev_per_atom": 1.4025,
  "lattice_angstrom": [[0.000, 4.545, 4.545], [4.545, 0.000, 4.545], [4.545, 4.545, 0.000]],
  "species": ["Li", "Cr", "Br", "Br", "Br", "Br"],
  "frac_coords": [[0.000, 0.000, 0.000], [0.250, 0.250, 0.250], [0.125, 0.625, 0.625], [0.625, 0.125, 0.625], [0.625, 0.625, 0.125], [0.625, 0.625, 0.625]]
}


[21]
{
  "formula": "BaHf2Pb2",
  "functional": "PBE",
  "state": "relaxed",
  "spacegroup": "P4/mbm",
  "e_form_kj_per_mol_atoms": 4.99,
  "dft_energy_ev_per_atom": -5.80,
  "lattice_angstrom": [[9.112, 0.000, 0.000], [0.000, 9.112, 0.000], [0.000, 0.000, 3.304]],
  "species": ["Ba", "Ba", "Hf", "Hf", "Hf", "Hf", "Pb", "Pb", "Pb", "Pb"],
  "frac_coords": [[0.000, 0.000, 0.000], [0.500, 0.500, 0.000], [0.117, 0.383, 0.000], [0.383, 0.883, 0.000], [0.617, 0.117, 0.000], [0.883, 0.617, 0.000], [0.173, 0.673, 0.500], [0.327, 0.173, 0.500], [0.673, 0.827, 0.500], [0.827, 0.327, 0.500]]
}


[22]
{
  "formula": "BaSc2Se",
  "functional": "PBE",
  "state": "relaxed",
  "e_form_raw_ev_per_atom": -0.28,
  "spacegroup": "P2/m",
  "dft_energy_ev_per_atom": -4.80,
  "lattice_angstrom": [[5.374, 0.000, 0.000], [0.000, 3.736, 0.000], [-2.479, 0.000, 5.547]],
  "species": ["Ba", "Sc", "Sc", "Se"],
  "frac_coords": [[0.000, 0.000, 0.000], [0.000, 0.500, 0.500], [0.500, 0.000, 0.500], [0.500, 0.500, 0.000]]
}